ScTlV2O6 | GGA+U | optimized geometry Values from VASP.

Quantum ESPRESSO input file:
```
&SYSTEM
  ibrav = 0, nat = 10, ntyp = 4
/
ATOMIC_SPECIES
Sc 44.96 Sc.upf
Tl 204.38 Tl.upf
V 50.94 V.upf
O 16.00 O.upf
CELL_PARAMETERS angstrom
2.7513 1.5884 5.3269
-2.7513 1.5884 5.3269
0.0000 -3.1769 5.3269
ATOMIC_POSITIONS crystal
Sc 0.0000 0.0000 0.0000
Tl 0.5000 0.5000 0.5000
V 0.1779 0.1779 0.1779
V 0.8221 0.8221 0.8221
O 0.0681 0.0681 0.5876
O 0.0681 0.5876 0.0681
O 0.4124 0.9319 0.9319
O 0.5876 0.0681 0.0681
O 0.9319 0.4124 0.9319
O 0.9319 0.9319 0.4124
```

Computed properties:
Crystal system: trigonal
Total energy: -73.6 eV per cell
SG: R-3m, No. 166
ρ: 5317 kg/m³

ScTlV2O8 | GGA+U | optimized geometry Values from VASP.

Quantum ESPRESSO input file:
```
&SYSTEM
  ibrav = 0, nat = 12, ntyp = 4
/
ATOMIC_SPECIES
Sc 44.96 Sc.upf
Tl 204.38 Tl.upf
V 50.94 V.upf
O 16.00 O.upf
CELL_PARAMETERS angstrom
5.7802 0.0000 0.0000
-2.8901 5.0058 0.0000
0.0000 0.0000 6.1558
ATOMIC_POSITIONS crystal
Sc 0.0000 0.0000 0.0000
Tl 0.0000 0.0000 0.5000
V 0.3333 0.6667 0.3062
V 0.6667 0.3333 0.6938
O 0.1611 0.3221 0.2240
O 0.1611 0.8389 0.2240
O 0.3221 0.1611 0.7760
O 0.3333 0.6667 0.5710
O 0.6667 0.3333 0.4290
O 0.6779 0.8389 0.2240
O 0.8389 0.1611 0.7760
O 0.8389 0.6779 0.7760
```

Computed properties:
Crystal system: trigonal
Total energy: -86.1 eV per cell
SG: P-3m1, No. 164
ρ: 4468 kg/m³

ScTlVO4 | GGA+U | optimized geometry Values from VASP.

Quantum ESPRESSO input file:
```
&SYSTEM
  ibrav = 0, nat = 14, ntyp = 4
/
ATOMIC_SPECIES
Sc 44.96 Sc.upf
Tl 204.38 Tl.upf
V 50.94 V.upf
O 16.00 O.upf
CELL_PARAMETERS angstrom
5.4947 0.0000 0.0000
0.0000 5.6318 0.0000
-0.7277 0.0000 7.5851
ATOMIC_POSITIONS crystal
Sc 0.1765 0.2500 0.4714
Sc 0.8235 0.7500 0.5286
Tl 0.1848 0.7500 0.1409
Tl 0.8152 0.2500 0.8591
V 0.3496 0.7500 0.6674
V 0.6504 0.2500 0.3326
O 0.1147 0.5123 0.6593
O 0.1147 0.9877 0.6593
O 0.3473 0.2500 0.2295
O 0.4461 0.7500 0.4421
O 0.5539 0.2500 0.5579
O 0.6527 0.7500 0.7705
O 0.8853 0.0123 0.3407
O 0.8853 0.4877 0.3407
```

Computed properties:
Crystal system: monoclinic
Total energy: -102.2 eV per cell
SG: P2_1/m, No. 11
ρ: 5154 kg/m³

Sc2TlWO8 | GGA+U | optimized geometry Values from VASP.

Quantum ESPRESSO input file:
```
&SYSTEM
  ibrav = 0, nat = 12, ntyp = 4
/
ATOMIC_SPECIES
Sc 44.96 Sc.upf
Tl 204.38 Tl.upf
W 183.84 W.upf
O 16.00 O.upf
CELL_PARAMETERS angstrom
3.3589 -3.4646 0.0000
3.3589 3.4646 0.0000
0.0000 0.0000 6.6995
ATOMIC_POSITIONS crystal
Sc 0.0000 0.0000 0.2494
Sc 0.0000 0.0000 0.7506
Tl 0.5000 0.5000 0.5000
W 0.5000 0.5000 0.0000
O 0.1874 0.1874 0.5000
O 0.2079 0.2079 0.0000
O 0.3033 0.6967 0.2068
O 0.3033 0.6967 0.7932
O 0.6967 0.3033 0.2068
O 0.6967 0.3033 0.7932
O 0.7921 0.7921 0.0000
O 0.8126 0.8126 0.5000
```

Computed properties:
Crystal system: orthorhombic
Total energy: -88.2 eV per cell
SG: Cmmm, No. 65
ρ: 6455 kg/m³

ScTl2WO6 | GGA+U | optimized geometry Values from VASP.

Quantum ESPRESSO input file:
```
&SYSTEM
  ibrav = 0, nat = 10, ntyp = 4
/
ATOMIC_SPECIES
Sc 44.96 Sc.upf
Tl 204.38 Tl.upf
W 183.84 W.upf
O 16.00 O.upf
CELL_PARAMETERS angstrom
6.5838 0.0000 0.0000
-3.2919 5.7017 0.0000
0.0000 0.0000 5.6285
ATOMIC_POSITIONS crystal
Sc 0.0000 0.0000 0.0000
Tl 0.3333 0.6667 0.5726
Tl 0.6667 0.3333 0.4274
W 0.0000 0.0000 0.5000
O 0.1317 0.2634 0.7237
O 0.1317 0.8683 0.7237
O 0.2634 0.1317 0.2763
O 0.7366 0.8683 0.7237
O 0.8683 0.1317 0.2763
O 0.8683 0.7366 0.2763
```

Computed properties:
Crystal system: trigonal
Total energy: -65.1 eV per cell
SG: P-3m1, No. 164
ρ: 5765 kg/m³

> Which value of ρ does entry 3 give?

5154 kg/m³